1.
## AcAl2SiPt4 (PBE)

Data for an optimized crystal structure of AcAl2SiPt4.

Cell lengths 9.512, 9.512, 9.512 Å; angles 26.20, 26.20, 26.20 degrees
Fractional positions:
Ac: 0.000 0.000 0.000
Al: 0.239 0.239 0.239
Al: 0.761 0.761 0.761
Si: 0.500 0.500 0.500
Pt: 0.140 0.140 0.140
Pt: 0.411 0.411 0.411
Pt: 0.589 0.589 0.589
Pt: 0.860 0.860 0.860

Computed properties:
The space group is No. 166. For the total energy, the calculation gives -6.097 eV/atom. For the formation energy from raw total energies, the calculation gives -0.949 eV per atom. Its density is 12.2 g cm⁻³.

=====

2.
## BaSr2Ac3Te6 (PBE)

Data for an optimized crystal structure of BaSr2Ac3Te6.

Cell lengths 10.712, 10.712, 9.599 Å; angles 103.82, 103.82, 25.60 degrees
Fractional positions:
Ba: 0.000 0.000 0.000
Sr: 0.333 0.333 0.666
Sr: 0.667 0.667 0.334
Ac: 0.000 0.000 0.500
Ac: 0.336 0.336 0.168
Ac: 0.664 0.664 0.832
Te: 0.167 0.167 0.582
Te: 0.171 0.171 0.088
Te: 0.498 0.498 0.741
Te: 0.502 0.502 0.259
Te: 0.829 0.829 0.912
Te: 0.833 0.833 0.418

Computed properties:
The space group is No. 12. For the total energy, the calculation gives -4.644 eV/atom. For the formation energy from raw total energies, the calculation gives -1.605 eV per atom. Its density is 6.3 g cm⁻³.

=====

Please write out number 2 again, unchanged.
## BaSr2Ac3Te6 (PBE)

Data for an optimized crystal structure of BaSr2Ac3Te6.

Cell lengths 10.712, 10.712, 9.599 Å; angles 103.82, 103.82, 25.60 degrees
Fractional positions:
Ba: 0.000 0.000 0.000
Sr: 0.333 0.333 0.666
Sr: 0.667 0.667 0.334
Ac: 0.000 0.000 0.500
Ac: 0.336 0.336 0.168
Ac: 0.664 0.664 0.832
Te: 0.167 0.167 0.582
Te: 0.171 0.171 0.088
Te: 0.498 0.498 0.741
Te: 0.502 0.502 0.259
Te: 0.829 0.829 0.912
Te: 0.833 0.833 0.418

Computed properties:
The space group is No. 12. For the total energy, the calculation gives -4.644 eV/atom. For the formation energy from raw total energies, the calculation gives -1.605 eV per atom. Its density is 6.3 g cm⁻³.

=====

Question: The highest formation energy from raw total energies belongs to which entry?
Answer: AcAl2SiPt4